*a*
Here is a relaxed structure of YHf2Cd2 from Alexandria. Energies are from PBE.

ρ = 9.30 Mg/m³
Magnetization = 0.000 μB/f.u.

```
YHf2Cd2
1.0
8.458 0.000 0.000
0.000 8.458 0.000
0.000 0.000 3.349
Y Hf Cd
2 4 4
Cartesian
0.000 0.000 0.000 Y
4.229 4.229 0.000 Y
1.256 2.973 1.674 Hf
2.973 7.203 1.674 Hf
5.485 1.256 1.674 Hf
7.203 5.485 1.674 Hf
1.278 5.507 0.000 Cd
2.951 1.278 0.000 Cd
5.507 7.181 0.000 Cd
7.181 2.951 0.000 Cd
```

*b*
Here is a relaxed structure of YHf2Cd2 from Alexandria. Energies are from PBE.

ρ = 9.38 Mg/m³
Magnetization = 0.513 μB/f.u.

```
YHf2Cd2
1.0
8.734 0.000 0.000
0.000 8.734 0.000
0.000 0.000 3.114
Y Hf Cd
2 4 4
Cartesian
0.000 0.000 0.000 Y
4.367 4.367 0.000 Y
1.041 3.326 0.000 Hf
3.326 7.693 0.000 Hf
5.408 1.041 0.000 Hf
7.693 5.408 0.000 Hf
1.547 5.914 1.557 Cd
2.820 1.547 1.557 Cd
5.914 7.186 1.557 Cd
7.186 2.820 1.557 Cd
```

What should be chosen as the least stable of them? Choose *b*.

*a*
Here is a relaxed structure of Hf2ZnCd from Alexandria. Energies are from PBE.

ρ = 10.78 Mg/m³
Magnetization = 0.000 μB/f.u.

```
Hf2ZnCd
1.0
1.571 0.907 9.635
-1.571 0.907 9.635
0.000 -1.814 9.635
Hf Zn Cd
2 1 1
Cartesian
0.000 0.000 7.037 Hf
0.000 0.000 21.867 Hf
0.000 0.000 14.452 Zn
0.000 0.000 0.000 Cd
```

*b*
Here is a relaxed structure of Hf2ZnCd from Alexandria. Energies are from PBE.

ρ = 11.29 Mg/m³
Magnetization = 0.000 μB/f.u.

```
Hf2ZnCd
1.0
0.000 3.400 3.400
3.400 0.000 3.400
3.400 3.400 0.000
Hf Zn Cd
2 1 1
Cartesian
1.700 1.700 1.700 Hf
5.101 5.101 5.101 Hf
0.000 0.000 0.000 Zn
3.400 3.400 3.400 Cd
```

What should be chosen as the least stable of them? Choose *a*.

*a*
Here is a relaxed structure of Hf2ZnCd from Alexandria. Energies are from PBE.

ρ = 11.27 Mg/m³
Magnetization = 0.368 μB/f.u.

```
Hf2ZnCd
1.0
4.342 0.000 0.000
0.000 4.342 0.000
0.000 0.000 4.180
Hf Zn Cd
2 1 1
Cartesian
0.000 2.171 0.000 Hf
2.171 0.000 0.000 Hf
0.000 0.000 2.090 Zn
2.171 2.171 2.090 Cd
```

*b*
Here is a relaxed structure of Hf2ZnCd from Alexandria. Energies are from PBE.

ρ = 9.81 Mg/m³
Magnetization = 0.000 μB/f.u.

```
Hf2ZnCd
1.0
2.174 1.255 5.529
-2.174 1.255 5.529
0.000 -2.510 5.529
Hf Zn Cd
2 1 1
Cartesian
0.000 0.000 0.000 Hf
0.000 0.000 3.415 Hf
0.000 0.000 9.976 Zn
0.000 0.000 7.101 Cd
```

*c*
Here is a relaxed structure of Hf2ZnCd from Alexandria. Energies are from PBE.

ρ = 11.08 Mg/m³
Magnetization = 0.000 μB/f.u.

```
Hf2ZnCd
1.0
6.004 -1.580 0.000
6.004 1.580 0.000
-5.591 0.000 8.449
Hf Zn Cd
4 2 2
Cartesian
0.000 0.000 0.000 Hf
0.715 0.000 3.322 Hf
1.948 0.000 6.261 Hf
5.405 0.000 5.560 Hf
-1.960 0.000 7.633 Zn
4.683 0.000 1.998 Zn
8.384 0.000 1.127 Cd
9.366 0.000 3.941 Cd
```

*d*
Here is a relaxed structure of Hf2ZnCd from Alexandria. Energies are from PBE.

ρ = 11.01 Mg/m³
Magnetization = 0.000 μB/f.u.

```
Hf2ZnCd
1.0
5.883 -1.656 0.000
5.883 1.656 0.000
-5.339 0.000 8.279
Hf Zn Cd
4 2 2
Cartesian
-1.304 0.000 2.114 Hf
-0.493 0.000 5.139 Hf
6.919 0.000 3.140 Hf
7.730 0.000 6.165 Hf
5.883 0.000 0.000 Zn
3.213 0.000 4.140 Zn
2.162 0.000 0.916 Cd
4.264 0.000 7.364 Cd
```

What should be chosen as the least stable of them? Choose *b*.

*a*
Here is a relaxed structure of Hf2ZnCd from Alexandria. Energies are from PBE.

ρ = 11.15 Mg/m³
Magnetization = 0.000 μB/f.u.

```
Hf2ZnCd
1.0
-1.584 2.530 4.971
1.584 -2.530 4.971
1.584 2.530 -4.971
Hf Zn Cd
2 1 1
Cartesian
0.000 0.000 0.000 Hf
0.000 2.530 2.397 Hf
0.000 0.000 4.945 Zn
1.584 0.000 2.718 Cd
```

*b*
Here is a relaxed structure of Hf2ZnCd from Alexandria. Energies are from PBE.

ρ = 10.48 Mg/m³
Magnetization = 0.000 μB/f.u.

```
Hf2ZnCd
1.0
-3.863 3.863 2.838
3.863 -3.863 2.838
3.863 3.863 -2.838
Hf Zn Cd
4 2 2
Cartesian
5.795 1.779 -0.710 Hf
1.779 1.932 0.710 Hf
-1.932 2.084 2.129 Hf
2.084 1.932 3.548 Hf
0.000 0.000 0.000 Zn
0.000 3.863 1.419 Zn
3.863 0.000 1.419 Cd
0.000 0.000 2.838 Cd
```

*c*
Here is a relaxed structure of Hf2ZnCd from Alexandria. Energies are from PBE.

ρ = 11.32 Mg/m³
Magnetization = 0.000 μB/f.u.

```
Hf2ZnCd
1.0
3.357 0.000 0.000
0.000 3.357 0.000
0.000 0.000 6.965
Hf Zn Cd
2 1 1
Cartesian
0.000 0.000 1.621 Hf
0.000 0.000 5.344 Hf
1.678 1.678 0.000 Zn
1.678 1.678 3.482 Cd
```

*d*
Here is a relaxed structure of Hf2ZnCd from Alexandria. Energies are from PBE.

ρ = 11.07 Mg/m³
Magnetization = 0.000 μB/f.u.

```
Hf2ZnCd
1.0
3.130 0.000 0.000
0.000 3.130 0.000
0.000 0.000 8.187
Hf Zn Cd
2 1 1
Cartesian
0.000 0.000 0.000 Hf
1.565 1.565 2.184 Hf
1.565 1.565 6.259 Zn
0.000 0.000 4.451 Cd
```

What should be chosen as the least stable of them? Choose *b*.

*a*
Here is a relaxed structure of HfZn2Cd2 from Alexandria. Energies are from PBE.

ρ = 9.02 Mg/m³
Magnetization = 0.000 μB/f.u.

```
HfZn2Cd2
1.0
-1.971 1.971 6.333
1.971 -1.971 6.333
1.971 1.971 -6.333
Hf Zn Cd
1 2 2
Cartesian
0.000 0.000 0.000 Hf
1.971 0.000 3.167 Zn
0.000 1.971 3.167 Zn
0.000 0.000 4.986 Cd
0.000 0.000 7.680 Cd
```

*b*
Here is a relaxed structure of HfZn2Cd2 from Alexandria. Energies are from PBE.

ρ = 9.31 Mg/m³
Magnetization = 0.000 μB/f.u.

```
HfZn2Cd2
1.0
8.015 0.000 0.000
0.000 8.015 0.000
0.000 0.000 2.966
Hf Zn Cd
2 4 4
Cartesian
0.000 0.000 0.000 Hf
4.007 4.007 0.000 Hf
1.400 2.608 1.483 Zn
2.608 6.615 1.483 Zn
5.407 1.400 1.483 Zn
6.615 5.407 1.483 Zn
1.025 5.033 0.000 Cd
2.982 1.025 0.000 Cd
5.033 6.989 0.000 Cd
6.989 2.982 0.000 Cd
```

What should be chosen as the least stable of them? Choose *a*.

*a*
Here is a relaxed structure of HfZn4Cd from Alexandria. Energies are from PBE.

ρ = 9.05 Mg/m³
Magnetization = 0.000 μB/f.u.

```
HfZn4Cd
1.0
0.000 3.701 3.701
3.701 0.000 3.701
3.701 3.701 0.000
Hf Zn Cd
1 4 1
Cartesian
0.000 0.000 0.000 Hf
4.637 2.765 2.765 Zn
2.765 4.637 2.765 Zn
2.765 2.765 4.637 Zn
4.637 4.637 4.637 Zn
1.850 1.850 1.850 Cd
```

*b*
Here is a relaxed structure of HfZn4Cd from Alexandria. Energies are from PBE.

ρ = 8.76 Mg/m³
Magnetization = 0.000 μB/f.u.

```
HfZn4Cd
1.0
1.570 -9.747 0.000
1.570 9.747 0.000
0.000 0.000 6.839
Hf Zn Cd
2 8 2
Cartesian
1.570 7.890 5.130 Hf
1.570 -7.890 1.710 Hf
1.570 8.538 1.710 Zn
1.570 2.950 3.829 Zn
1.570 2.950 6.430 Zn
1.570 0.000 0.000 Zn
1.570 0.000 3.420 Zn
1.570 -2.950 0.409 Zn
1.570 -2.950 3.010 Zn
1.570 -8.538 5.130 Zn
1.570 4.711 1.710 Cd
1.570 -4.711 5.130 Cd
```

What should be chosen as the least stable of them? Choose *a*.